Record 1
A plane-wave DFT calculation with SCAN was carried out for ScBeBr at its PBEsol-relaxed geometry.

Computed properties:
The energy above the lowest structure with this stoichiometry is 523.1 meV/atom. For the calculated total energy, the calculation gives -0.9059 Ry per atom.

Cell and atoms, written as POSCAR:
```
ScBeBr
1.0
-3.5468 -2.0169 1.9096
-0.1286 -4.4908 0.3318
0.4296 -1.9743 4.0263
Sc Be Br
1 1 1
Direct
0.2500 0.2500 0.2500
0.0000 0.0000 0.0000
0.5000 0.5000 0.5000
```

=====

Record 2
A plane-wave DFT calculation with SCAN was carried out for ScCd2Si at its PBEsol-relaxed geometry.

Computed properties:
For the calculated total energy, the calculation gives -1.5684 Ry per atom.

Cell and atoms, written as POSCAR:
```
ScCd2Si
1.0
-2.9889 2.4563 1.4632
-2.8722 -3.0851 -0.6881
3.6261 -1.2272 3.6212
Cd Sc Si
2 1 1
Direct
0.0082 0.0082 0.0164
0.2488 0.7488 0.4976
0.4929 0.4929 0.9858
0.7501 0.2501 0.5002
```

=====

Record 3
A plane-wave DFT calculation with SCAN was carried out for TiSeIN2 at its PBEsol-relaxed geometry.

Computed properties:
For the calculated total energy, the calculation gives -1.2347 Ry per atom.

Cell and atoms, written as POSCAR:
```
TiSeIN2
1.0
3.8507 0.0000 0.0000
0.0000 3.8507 0.0000
0.0000 0.0000 6.2188
I N Se Ti
1 2 1 1
Direct
0.0000 0.0000 0.5000
0.0000 0.5000 0.0000
0.5000 0.0000 0.0000
0.0000 0.0000 0.0000
0.5000 0.5000 0.5000
```

=====

Record 4
A plane-wave DFT calculation with SCAN was carried out for CdHg2Os at its PBEsol-relaxed geometry.

Computed properties:
For the calculated total energy, the calculation gives -4.3341 Ry per atom. For the formation energy, the calculation gives 0.688 eV/atom.

Cell and atoms, written as POSCAR:
```
CdHg2Os
1.0
-0.4209 0.4919 2.8212
-3.9562 -1.5863 -0.3136
2.0662 -5.4000 1.2498
Cd Hg Os
1 2 1
Direct
0.5000 0.5000 0.7330
0.0000 0.0000 0.9963
0.5000 0.5000 0.2670
0.0000 0.0000 0.5037
```

=====

Record 5
A plane-wave DFT calculation with SCAN was carried out for MgHgAs2H at its PBEsol-relaxed geometry.

Computed properties:
For the calculated total energy, the calculation gives -1.6505 Ry per atom.

Cell and atoms, written as POSCAR:
```
MgHgAs2H
1.0
-2.6338 -2.1583 3.5374
3.1839 -3.7367 0.0907
2.9512 2.6066 3.7878
Mg H As Hg
1 1 2 1
Direct
0.0000 0.0000 0.0000
0.5000 0.5000 0.5000
0.0000 0.5000 0.0000
0.5000 0.0000 0.0000
0.0000 0.0000 0.5000
```

=====

Record 6
A plane-wave DFT calculation with SCAN was carried out for B2TeRh2 at its PBEsol-relaxed geometry.

Computed properties:
For the calculated total energy, the calculation gives -1.7713 Ry per atom.

Cell and atoms, written as POSCAR:
```
B2TeRh2
1.0
3.0110 0.0000 0.0000
0.0000 3.0110 0.0000
-1.5055 -1.5055 7.2082
B Te Rh
2 1 2
Direct
0.2500 0.7500 0.5000
0.7500 0.2500 0.5000
0.0000 0.0000 0.0000
0.3529 0.3529 0.7058
0.6471 0.6471 0.2942
```

=====

Record 7
A plane-wave DFT calculation with SCAN was carried out for Cs3SiHg at its PBEsol-relaxed geometry.

Computed properties:
For the calculated total energy, the calculation gives -2.7873 Ry per atom.

Cell and atoms, written as POSCAR:
```
Cs3SiHg
1.0
-2.2128 -0.0102 -6.4010
-3.2779 -5.8154 1.1424
-5.4980 3.4713 1.8952
Cs Si Hg
3 1 1
Direct
0.0000 0.5000 0.0000
0.0000 0.0000 0.5000
0.5000 0.0000 0.0000
0.5000 0.5000 0.5000
0.0000 0.0000 0.0000
```

=====

Record 8
A plane-wave DFT calculation with SCAN was carried out for SrCuNiSn2 at its PBEsol-relaxed geometry.

Computed properties:
For the calculated total energy, the calculation gives -1.7170 Ry per atom. For the formation energy, the calculation gives 1.737 eV/atom.

Cell and atoms, written as POSCAR:
```
SrCuNiSn2
1.0
-2.5597 4.1568 -0.3951
-4.8148 -2.8126 1.6022
1.1329 1.2258 5.5564
Sr Sn Cu Ni
1 2 1 1
Direct
0.0000 0.0000 0.0000
0.0000 0.0000 0.5000
0.0000 0.5000 0.0000
0.5000 0.0000 0.0000
0.5000 0.5000 0.5000
```

=====

Record 9
A plane-wave DFT calculation with SCAN was carried out for Be2InNi at its PBEsol-relaxed geometry.

Computed properties:
For the calculated total energy, the calculation gives -1.0672 Ry per atom. For the formation energy, the calculation gives 0.047 eV/atom.

Cell and atoms, written as POSCAR:
```
Be2InNi
1.0
3.5851 0.0000 0.0000
0.0000 3.5851 0.0000
-1.7925 -1.7925 3.6714
Ni Be In
1 2 1
Direct
0.2500 0.7500 0.5000
0.0000 0.0000 0.0000
0.7500 0.2500 0.5000
0.5000 0.5000 0.0000
```

=====

Record 10
A plane-wave DFT calculation with SCAN was carried out for SrCdFe at its PBEsol-relaxed geometry.

Computed properties:
For the calculated total energy, the calculation gives -1.6990 Ry per atom. For the formation energy, the calculation gives 0.490 eV/atom.

Cell and atoms, written as POSCAR:
```
SrCdFe
1.0
4.7787 0.0000 0.0000
2.3894 4.1385 0.0000
2.3894 1.3795 3.9018
Cd Fe Sr
1 1 1
Direct
0.5000 0.5000 0.5000
0.7500 0.7500 0.7500
0.0000 0.0000 0.0000
```

=====

Record 11
A plane-wave DFT calculation with SCAN was carried out for Tm11Sn10 at its PBEsol-relaxed geometry.

Computed properties:
For the calculated total energy, the calculation gives -3.3109 Ry per atom. For the formation energy, the calculation gives -0.792 eV/atom.

Cell and atoms, written as POSCAR:
```
Tm11Sn10
1.0
-8.6860 5.0515 5.2535
3.2426 -10.5565 3.2758
6.6267 8.8762 2.4215
Tm Sn
22 20
Direct
0.1881 0.3763 0.4394
0.1881 0.3763 0.9369
0.9369 0.3763 0.1881
0.4394 0.3763 0.1881
0.8119 0.6237 0.5606
0.8119 0.6237 0.0631
0.0631 0.6237 0.8119
0.5606 0.6237 0.8119
0.8268 0.0000 0.1732
0.1732 0.0000 0.8268
0.8268 0.0000 0.8268
0.1732 0.0000 0.1732
0.3316 0.6633 0.3316
0.6684 0.3367 0.6684
0.3977 0.7953 0.7296
0.3977 0.7953 0.0657
0.0657 0.7953 0.3977
0.7296 0.7953 0.3977
0.6023 0.2047 0.2704
0.6023 0.2047 0.9343
0.9343 0.2047 0.6023
0.2704 0.2047 0.6023
0.6446 0.0000 0.0000
0.3554 0.0000 0.0000
0.0000 0.0000 0.6446
0.0000 0.0000 0.3554
0.1122 0.2245 0.1122
0.8878 0.7755 0.8878
0.6306 0.0000 0.3694
0.3694 0.0000 0.6306
0.6306 0.0000 0.6306
0.3694 0.0000 0.3694
0.2500 0.5000 0.7500
0.7500 0.5000 0.2500
0.1193 0.6496 0.5303
0.5303 0.6496 0.1193
0.1193 0.6496 0.1193
0.5303 0.6496 0.5303
0.8807 0.3504 0.4697
0.4697 0.3504 0.8807
0.8807 0.3504 0.8807
0.4697 0.3504 0.4697
```

=====

Record 12
A plane-wave DFT calculation with SCAN was carried out for ZnCuW at its PBEsol-relaxed geometry.

Computed properties:
The energy above the lowest structure with this stoichiometry is 0.0 meV/atom. For the calculated total energy, the calculation gives -2.3310 Ry per atom. For the formation energy, the calculation gives 1.086 eV/atom.

Cell and atoms, written as POSCAR:
```
ZnCuW
1.0
4.0075 0.0000 0.0000
2.0037 3.4706 0.0000
2.0037 1.1569 3.2721
Cu W Zn
1 1 1
Direct
0.0000 0.0000 0.0000
0.5000 0.5000 0.5000
0.2500 0.2500 0.2500
```